Computed, not measured: SrOs after structural relaxation at the PBE level of DFT.

The value obtained for the total energy is -5.322 eV per atom. The calculation puts the formation energy at 1.1342 eV/atom.

Cell: 5.790 5.790 2.735 Å, 90.00 90.00 90.00°
Sites, in units of the cell vectors:
Os 0.750 0.750 0.500
Os 0.250 0.250 0.500
Sr 0.250 0.750 0.000
Sr 0.750 0.250 0.000

---

Computed, not measured: CeCdSnPt after structural relaxation at the PBE level of DFT.

The value obtained for the total energy is -4.781 eV per atom. The calculation puts the formation energy at -0.5581 eV/atom.

Cell: 5.019 5.019 5.019 Å, 60.00 60.00 60.00°
Sites, in units of the cell vectors:
Cd 0.750 0.750 0.750
Pt 0.250 0.250 0.250
Ce 0.000 0.000 0.000
Sn 0.500 0.500 0.500

---

Computed, not measured: Mg4GaHg5 after structural relaxation at the PBE level of DFT.

The value obtained for the total energy is -1.244 eV per atom. The calculation puts the formation energy at -0.1529 eV/atom.

Cell: 3.570 3.570 16.877 Å, 90.00 90.00 90.00°
Sites, in units of the cell vectors:
Hg 0.500 0.500 0.899
Mg 0.000 0.000 0.200
Hg 0.500 0.500 0.500
Hg 0.500 0.500 0.101
Mg 0.000 0.000 0.800
Mg 0.000 0.000 0.400
Hg 0.500 0.500 0.701
Mg 0.000 0.000 0.600
Ga 0.000 0.000 0.000
Hg 0.500 0.500 0.299

---

Computed, not measured: HfTiMnNi after structural relaxation at the PBE level of DFT.

The value obtained for the total energy is -8.487 eV per atom. The calculation puts the formation energy at -0.2872 eV/atom.

Cell: 4.357 4.357 4.357 Å, 60.00 60.00 60.00°
Sites, in units of the cell vectors:
Ti 0.250 0.250 0.250
Ni 0.500 0.500 0.500
Mn 0.000 0.000 0.000
Hf 0.750 0.750 0.750

---

Computed, not measured: LiSiTc2 after structural relaxation at the PBE level of DFT.

The value obtained for the total energy is -6.962 eV per atom. The raw formation energy is 55 meV per atom.

Cell: 8.682 8.682 8.682 Å, 18.44 18.44 18.44°
Sites, in units of the cell vectors:
Si 0.750 0.750 0.750
Tc 0.008 0.008 0.008
Li 0.250 0.250 0.250
Tc 0.492 0.492 0.492

---

Computed, not measured: TiCoBi3 after structural relaxation at the PBE level of DFT.

The value obtained for the total energy is -4.493 eV per atom. The value obtained for the relative energy among the computed polymorphs is 173 meV/atom. The calculation puts the formation energy at 0.8362 eV/atom.

Cell: 5.358 5.358 5.358 Å, 90.00 90.00 90.00°
Sites, in units of the cell vectors:
Co 0.500 0.500 0.500
Ti 0.000 0.000 0.000
Bi 0.500 0.000 0.000
Bi 0.000 0.500 0.000
Bi 0.000 0.000 0.500

---

Computed, not measured: In2Pd2Se after structural relaxation at the PBE level of DFT.

The value obtained for the total energy is -4.103 eV per atom. The raw formation energy is -233 meV per atom. The value obtained for the relative energy among the computed polymorphs is 83 meV/atom.

Cell: 8.198 8.198 2.967 Å, 90.00 90.00 90.00°
Sites, in units of the cell vectors:
Pd 0.122 0.622 0.500
Pd 0.622 0.878 0.500
In 0.827 0.673 0.000
Se 0.500 0.500 0.000
In 0.673 0.173 0.000
In 0.173 0.327 0.000
Pd 0.878 0.378 0.500
In 0.327 0.827 0.000
Se 0.000 0.000 0.000
Pd 0.378 0.122 0.500

---

Computed, not measured: KMg2Te after structural relaxation at the PBE level of DFT.

The value obtained for the total energy is -2.191 eV per atom. The raw formation energy is -333 meV per atom.

Cell: 3.992 3.992 7.927 Å, 90.00 90.00 90.00°
Sites, in units of the cell vectors:
Mg 0.000 0.000 0.062
K 0.500 0.500 0.732
Mg 0.500 0.500 0.271
Te 0.000 0.000 0.435

---

Computed, not measured: CdRuPb after structural relaxation at the PBE level of DFT.

The value obtained for the total energy is -4.246 eV per atom. The calculation puts the formation energy at 0.3870 eV/atom.

Cell: 4.575 4.575 4.575 Å, 60.00 60.00 60.00°
Sites, in units of the cell vectors:
Cd 0.000 0.000 0.000
Ru 0.750 0.750 0.750
Pb 0.500 0.500 0.500

---

Computed, not measured: CeY3Er8 after structural relaxation at the PBE level of DFT.

The value obtained for the total energy is -4.509 eV per atom. The calculation puts the formation energy at 0.6431 eV/atom.

Cell: 8.297 8.297 8.297 Å, 94.43 117.48 117.48°
Sites, in units of the cell vectors:
Er 0.749 0.109 0.109
Er 0.537 0.736 0.736
Er 0.000 0.891 0.640
Er 0.000 0.801 0.264
Er 0.000 0.640 0.891
Er 0.463 0.199 0.199
Y 0.000 0.500 0.500
Ce 0.000 0.000 0.000
Er 0.251 0.360 0.360
Y 0.500 0.250 0.750
Y 0.500 0.750 0.250
Er 0.000 0.264 0.801

---

Computed, not measured: Pu2Ge3Pd5 after structural relaxation at the PBE level of DFT.

The value obtained for the total energy is -7.414 eV per atom. The calculation puts the formation energy at -0.5656 eV/atom.

Cell: 5.856 8.529 8.529 Å, 83.94 69.92 69.92°
Sites, in units of the cell vectors:
Ge 0.365 0.513 0.756
Pd 0.595 0.740 0.069
Pu 0.136 0.591 0.136
Pd 0.018 0.232 0.232
Pd 0.905 0.931 0.260
Ge 0.635 0.487 0.244
Pu 0.364 0.864 0.409
Ge 0.135 0.244 0.487
Ge 0.750 0.000 0.000
Pd 0.250 0.500 0.500
Ge 0.865 0.756 0.513
Pd 0.405 0.260 0.931
Pd 0.518 0.232 0.232
Ge 0.250 0.000 0.000
Pd 0.482 0.768 0.768
Pu 0.864 0.409 0.864
Pd 0.750 0.500 0.500
Pu 0.636 0.136 0.591
Pd 0.095 0.069 0.740
Pd 0.982 0.768 0.768

---

Computed, not measured: Zn2Cu2Te after structural relaxation at the PBE level of DFT.

The value obtained for the total energy is -2.652 eV per atom. The raw formation energy is 124 meV per atom. The value obtained for the relative energy among the computed polymorphs is 65 meV/atom.

Cell: 7.507 7.507 2.949 Å, 90.00 90.00 90.00°
Sites, in units of the cell vectors:
Cu 0.672 0.172 0.000
Zn 0.877 0.377 0.500
Te 0.000 0.000 0.000
Cu 0.172 0.328 0.000
Zn 0.123 0.623 0.500
Te 0.500 0.500 0.000
Cu 0.828 0.672 0.000
Zn 0.377 0.123 0.500
Zn 0.623 0.877 0.500
Cu 0.328 0.828 0.000

---

Computed, not measured: MoPb2 after structural relaxation at the PBE level of DFT.

The value obtained for the total energy is -5.600 eV per atom. The value obtained for the relative energy among the computed polymorphs is 85 meV/atom. The calculation puts the formation energy at 0.4828 eV/atom.

Cell: 7.963 7.963 6.683 Å, 73.37 73.37 23.02°
Sites, in units of the cell vectors:
Mo 0.010 0.010 0.165
Pb 0.662 0.662 0.884
Pb 0.338 0.338 0.116
Mo 0.990 0.990 0.835
Pb 0.388 0.388 0.560
Pb 0.612 0.612 0.440

---

Computed, not measured: ZnBMo3 after structural relaxation at the PBE level of DFT.

The value obtained for the total energy is -7.797 eV per atom. The value obtained for the relative energy among the computed polymorphs is 0 meV/atom. The calculation puts the formation energy at 0.2920 eV/atom.

Cell: 4.192 4.192 4.192 Å, 90.00 90.00 90.00°
Sites, in units of the cell vectors:
Mo 0.000 0.000 0.500
Mo 0.000 0.500 0.000
B 0.000 0.000 0.000
Mo 0.500 0.000 0.000
Zn 0.500 0.500 0.500

---

Computed, not measured: NaBiN2F after structural relaxation at the PBE level of DFT.

The value obtained for the total energy is -3.938 eV per atom. The raw formation energy is 806 meV per atom. The value obtained for the relative energy among the computed polymorphs is 517 meV/atom.

Cell: 4.347 4.347 3.911 Å, 90.00 90.00 90.00°
Sites, in units of the cell vectors:
N 0.500 0.000 0.000
N 0.000 0.500 0.000
F 0.000 0.000 0.500
Bi 0.500 0.500 0.500
Na 0.000 0.000 0.000

---

Computed, not measured: Sm8CdAu2 after structural relaxation at the PBE level of DFT.

The value obtained for the total energy is -4.441 eV per atom. The calculation puts the formation energy at -0.3294 eV/atom.

Cell: 5.220 7.166 9.569 Å, 106.15 105.83 90.00°
Sites, in units of the cell vectors:
Au 0.817 0.275 0.633
Sm 0.804 0.675 0.608
Sm 0.971 0.235 0.942
Cd 0.500 0.000 0.000
Au 0.183 0.725 0.367
Sm 0.408 0.532 0.817
Sm 0.329 0.023 0.657
Sm 0.671 0.977 0.343
Sm 0.196 0.325 0.392
Sm 0.029 0.765 0.058
Sm 0.592 0.468 0.183

---

Computed, not measured: Cr2BiCl after structural relaxation at the PBE level of DFT.

The value obtained for the total energy is -5.869 eV per atom. The raw formation energy is 374 meV per atom. The value obtained for the relative energy among the computed polymorphs is 72 meV/atom.

Cell: 4.925 4.925 4.925 Å, 60.00 60.00 60.00°
Sites, in units of the cell vectors:
Cr 0.250 0.250 0.250
Bi 0.500 0.500 0.500
Cr 0.750 0.750 0.750
Cl 0.000 0.000 0.000

---

Computed, not measured: Ca5Tl after structural relaxation at the PBE level of DFT.

The value obtained for the total energy is -2.189 eV per atom. The value obtained for the relative energy among the computed polymorphs is 22 meV/atom. The calculation puts the formation energy at -0.1266 eV/atom.

Cell: 5.476 5.434 7.745 Å, 110.54 90.00 90.00°
Sites, in units of the cell vectors:
Ca 0.000 0.651 0.302
Ca 0.000 0.349 0.698
Ca 0.500 0.500 0.000
Ca 0.500 0.843 0.687
Tl 0.000 0.000 0.000
Ca 0.500 0.157 0.313

---

Computed, not measured: La6PrSm2Dy after structural relaxation at the PBE level of DFT.

The value obtained for the total energy is -4.658 eV per atom. The calculation puts the formation energy at 0.1800 eV/atom.

Cell: 9.213 7.114 6.775 Å, 121.67 104.32 90.00°
Sites, in units of the cell vectors:
Dy 0.500 0.000 0.000
La 0.798 0.422 0.381
La 0.577 0.372 0.745
La 0.798 0.959 0.381
La 0.202 0.041 0.619
La 0.202 0.578 0.619
Sm 0.827 0.921 0.843
La 0.423 0.628 0.255
Sm 0.173 0.079 0.157
Pr 0.000 0.500 0.000

---

Computed, not measured: Y4Er2TmSc after structural relaxation at the PBE level of DFT.

The value obtained for the total energy is -5.684 eV per atom. The calculation puts the formation energy at 0.0394 eV/atom.

Cell: 4.963 4.973 11.073 Å, 63.34 90.00 90.00°
Sites, in units of the cell vectors:
Er 0.500 0.000 0.500
Sc 0.500 0.500 0.000
Tm 0.000 0.500 0.500
Y 0.500 0.754 0.246
Y 0.000 0.746 0.754
Y 0.000 0.254 0.246
Er 0.000 0.000 0.000
Y 0.500 0.246 0.754